1.
A relaxed structure of P2RuPt. Source: Alexandria, functional PBE-GGA.

Cell lengths 2.953, 2.953, 7.562 Å; angles 90.00, 90.00, 90.00 degrees
Space group P4mm (No. 99)
Asymmetric unit:
P: 0.000 0.000 0.000
P: 0.500 0.500 0.396
Ru: 0.500 0.500 0.844
Pt: 0.000 0.000 0.566



2.
A relaxed structure of PRuPt2. Source: Alexandria, functional PBE-GGA.

Cell lengths 2.8577, 2.8577, 24.9667 Å; angles 90.00, 90.00, 120.00 degrees
Space group R-3m (No. 166, hexagonal axes)
Asymmetric unit:
P: 0.0000 0.0000 0.0000
Ru: 0.0000 0.0000 0.5000
Pt: 0.0000 0.0000 0.2579



3.
A relaxed structure of PRu2Pt. Source: Alexandria, functional PBE-GGA.

Cell lengths 3.851, 3.851, 7.552 Å; angles 90.00, 90.00, 90.00 degrees
Space group I-4m2 (No. 119)
Asymmetric unit:
P: 0.000 0.000 0.000
Ru: 0.000 0.000 0.500
Ru: 0.000 0.500 0.250
Pt: 0.000 0.500 0.750



4.
A relaxed structure of P3RuPt. Source: Alexandria, functional PBE-GGA.

Cell lengths 4.514, 4.514, 4.514 Å; angles 90.00, 90.00, 90.00 degrees
Space group Pm-3m (No. 221)
Asymmetric unit:
P: 0.000 0.000 0.500
Ru: 0.000 0.000 0.000
Pt: 0.500 0.500 0.500



5.
A relaxed structure of PRu2Pt2. Source: Alexandria, functional PBE-GGA.

Cell lengths 5.982, 5.982, 4.263 Å; angles 90.00, 90.00, 90.00 degrees
Space group P4/mbm (No. 127)
Asymmetric unit:
P: 0.000 0.000 0.000
Ru: 0.148 0.352 0.000
Pt: 0.161 0.661 0.500



6.
A relaxed structure of PRuPt2. Source: Alexandria, functional PBE-GGA.

Cell lengths 3.551, 2.886, 11.443 Å; angles 90.00, 90.00, 90.00 degrees
Space group Amm2 (No. 38)
Asymmetric unit:
P: 0.000 0.000 0.000
Ru: 0.500 0.000 0.431
Pt: 0.000 0.000 0.784
Pt: 0.500 0.000 0.145



7.
A relaxed structure of PRu2Pt. Source: Alexandria, functional PBE-GGA.

Cell lengths 6.133, 6.133, 6.133 Å; angles 90.00, 90.00, 90.00 degrees
Space group F-43m (No. 216)
Asymmetric unit:
P: 0.000 0.000 0.000
Ru: 0.000 0.000 0.500
Ru: 0.250 0.250 0.750
Pt: 0.250 0.250 0.250



8.
A relaxed structure of PRuPt2. Source: Alexandria, functional PBE-GGA.

Cell lengths 3.782, 3.782, 4.080 Å; angles 90.00, 90.00, 90.00 degrees
Space group P4/mmm (No. 123)
Asymmetric unit:
P: 0.000 0.000 0.000
Ru: 0.500 0.500 0.000
Pt: 0.000 0.500 0.500



9.
A relaxed structure of PRuPt2. Source: Alexandria, functional PBE-GGA.

Cell lengths 2.876, 2.876, 7.123 Å; angles 90.00, 90.00, 90.00 degrees
Space group P4/mmm (No. 123)
Asymmetric unit:
P: 0.000 0.000 0.000
Ru: 0.000 0.000 0.500
Pt: 0.500 0.500 0.234



10.
A relaxed structure of P2RuPt. Source: Alexandria, functional PBE-GGA.

Cell lengths 3.403, 3.403, 4.929 Å; angles 90.00, 90.00, 90.00 degrees
Space group P4mm (No. 99)
Asymmetric unit:
P: 0.000 0.000 0.000
P: 0.500 0.500 0.372
Ru: 0.500 0.500 0.864
Pt: 0.000 0.000 0.501



11.
A relaxed structure of PRu2Pt2. Source: Alexandria, functional PBE-GGA.

Cell lengths 3.596, 3.596, 12.788 Å; angles 90.00, 90.00, 90.00 degrees
Space group I4/mmm (No. 139)
Asymmetric unit:
P: 0.000 0.000 0.000
Ru: 0.000 0.000 0.406
Pt: 0.000 0.500 0.250



12.
A relaxed structure of PRuPt. Source: Alexandria, functional PBE-GGA.

Cell lengths 2.9039, 2.9039, 5.8857 Å; angles 90.00, 90.00, 120.00 degrees
Space group P3m1 (No. 156)
Asymmetric unit:
P: 0.0000 0.0000 0.0000
Ru: 0.3333 0.6667 0.7248
Pt: 0.6667 0.3333 0.3254



no.,density of states at the Fermi level (states/eV/cell),energy (eV/atom),total moment (μB per atom)
1,1.940,-6.6284,0.0000
2,12.254,-6.5919,0.1425
3,7.700,-7.3521,0.0000
4,4.152,-5.5453,0.0000
5,11.289,-7.1883,0.0000
6,6.248,-6.9099,0.0000
7,29.946,-7.1156,0.0002
8,2.840,-6.5986,0.0000
9,5.536,-6.5552,0.0909
10,2.601,-6.8192,0.0001
11,14.787,-6.6923,0.1729
12,2.488,-7.0532,0.0000